## Ba2Ge3SbPd4 (GGA-PBE)

Data for crystalline Ba2Ge3SbPd4 at its relaxed geometry.

Structure (POSCAR):
```
Ba2Ge3SbPd4
1.0
4.613 0.000 0.000
0.000 4.613 0.000
0.000 0.000 10.546
Ba Ge Sb Pd
2 3 1 4
Cartesian
0.000 2.306 2.597
2.306 0.000 7.949
0.000 2.306 9.361
2.306 0.000 1.185
2.306 2.306 5.273
0.000 0.000 5.273
0.000 0.000 0.000
0.000 2.306 6.699
2.306 0.000 3.847
2.306 2.306 0.000
```

Values from the calculation:
- Formation energy from raw total energies: -0.68 eV/atom
- SG: P-4m2, No. 115
- Size of the total moment: 0.0 μB per cell

***

## TiAg2Rh2 (GGA-PBE)

Data for crystalline TiAg2Rh2 at its relaxed geometry.

Structure (POSCAR):
```
TiAg2Rh2
1.0
6.293 0.000 0.000
0.000 6.293 0.000
0.000 0.000 4.329
Ti Ag Rh
2 4 4
Cartesian
0.000 0.000 0.000
3.147 3.147 0.000
1.023 2.124 2.165
2.124 5.270 2.165
4.170 1.023 2.165
5.270 4.170 2.165
0.904 4.051 0.000
2.243 0.904 0.000
4.051 5.389 0.000
5.389 2.243 0.000
```

Values from the calculation:
- SG: P4/mbm, No. 127
- Energy relative to the elements: -1.11 kJ per mole of atoms
- Size of the total moment: 0.0 μB per cell

***

## ZrHgSCl2 (GGA-PBE)

Data for crystalline ZrHgSCl2 at its relaxed geometry.

Structure (POSCAR):
```
ZrHgSCl2
1.0
5.175 0.000 0.000
0.000 5.175 0.000
0.000 0.000 4.948
Zr Hg S Cl
1 1 1 2
Cartesian
0.000 0.000 0.000
2.588 2.588 2.474
0.000 0.000 2.474
0.000 2.588 0.000
2.588 0.000 0.000
```

Values from the calculation:
- Polymorph energy (0 for the lowest one): 0.00 eV per formula unit
- Formation energy from raw total energies: -1.05 eV/atom
- SG: P4/mmm, No. 123
- Size of the total moment: 0.0 μB per cell

***

Q: What is the size of the total moment in the first record?
A: 0.0 μB per cell

***

Q: size of the total moment of number 1 (Ba2Ge3SbPd4)?
A: 0.0 μB per cell

***

Please write out number 2 again, unchanged.
## TiAg2Rh2 (GGA-PBE)

Data for crystalline TiAg2Rh2 at its relaxed geometry.

Structure (POSCAR):
```
TiAg2Rh2
1.0
6.293 0.000 0.000
0.000 6.293 0.000
0.000 0.000 4.329
Ti Ag Rh
2 4 4
Cartesian
0.000 0.000 0.000
3.147 3.147 0.000
1.023 2.124 2.165
2.124 5.270 2.165
4.170 1.023 2.165
5.270 4.170 2.165
0.904 4.051 0.000
2.243 0.904 0.000
4.051 5.389 0.000
5.389 2.243 0.000
```

Values from the calculation:
- SG: P4/mbm, No. 127
- Energy relative to the elements: -1.11 kJ per mole of atoms
- Size of the total moment: 0.0 μB per cell